CsPuMoO6: relaxed, GGA+U.

abc: 7.7929 7.5026 7.6432
angles: 119.39 120.65 90.00
Atoms (fractional coordinates):
O (0.5486, 0.2986, 0.0972)
O (0.8230, 0.0730, 0.6459)
O (0.4451, 0.0733, 0.2453)
O (0.1998, 0.9267, 0.7547)
O (0.4451, 0.6720, 0.2453)
O (0.1998, 0.3280, 0.7547)
O (0.8002, 0.6720, 0.2453)
O (0.8002, 0.0733, 0.2453)
O (0.1770, 0.9270, 0.3541)
O (0.5549, 0.3280, 0.7547)
O (0.5549, 0.9267, 0.7547)
O (0.4514, 0.7014, 0.9028)
Cs (0.8651, 0.6151, 0.7303)
Cs (0.1349, 0.3849, 0.2697)
Pu (0.5000, 0.0000, 0.5000)
Pu (0.0000, 0.0000, 0.5000)
Mo (0.5000, 0.5000, 0.0000)
Mo (0.5000, 0.0000, 0.0000)

Summary:
Its total moment is 3.0 μB per formula unit. For the calculated density, the calculation gives 5.98 g/cm³. The value obtained for the total energy is -142.61 eV/cell.